# 1
Density functional theory data (PBE-GGA) for a geometry-optimized Ac4SnGe4 structure.

Cell and atoms, written as POSCAR:
```
Ac4SnGe4
1.0
6.573 0.000 0.000
0.000 9.256 0.000
0.000 0.000 9.256
Ac Sn Ge
8 2 8
Cartesian
2.311 2.607 8.627
5.598 5.257 7.236
2.311 6.649 0.629
0.975 2.021 5.257
4.262 8.627 6.649
0.975 7.236 3.999
5.598 3.999 2.021
4.262 0.629 2.607
0.000 0.000 0.000
3.287 4.628 4.628
4.356 6.938 3.563
4.356 2.318 5.694
1.070 8.191 6.946
5.504 2.310 8.191
5.504 6.946 1.065
2.217 3.563 2.318
2.217 5.694 6.938
1.070 1.065 2.310
```

Calculated values
Symmetry: P4_2/n
DFT formation energy (eV per atom): -0.4630

=====

# 2
Density functional theory data (PBE-GGA) for a geometry-optimized Sc2RuPbC structure.

Cell and atoms, written as POSCAR:
```
Sc2RuPbC
1.0
-0.148 -4.566 0.897
1.874 0.763 4.193
-3.663 0.426 1.560
Pb Ru C Sc
1 1 1 2
Cartesian
-0.969 -1.688 3.325
-1.832 0.213 0.780
0.000 0.000 0.000
0.937 0.382 2.096
-0.074 -2.283 0.449
```

Calculated values
Symmetry: P4/mmm
DFT formation energy (eV per atom): -0.4049

=====

# 3
Density functional theory data (PBE-GGA) for a geometry-optimized CsGeAs2 structure.

Cell and atoms, written as POSCAR:
```
CsGeAs2
1.0
-3.633 1.761 -5.067
-6.240 -1.723 -0.266
-4.608 4.400 0.690
Cs As Ge
1 2 1
Cartesian
-7.241 2.219 -2.322
-4.043 2.518 -0.368
-10.438 1.920 -4.275
0.000 0.000 0.000
```

Calculated values
Symmetry: R-3m
DFT formation energy (eV per atom): 0.1994

=====

# 4
Density functional theory data (PBE-GGA) for a geometry-optimized Ac5Zn2IrO structure.

Cell and atoms, written as POSCAR:
```
Ac5Zn2IrO
1.0
-1.635 1.630 -3.608
7.467 -5.517 -3.334
-8.723 -11.151 -1.086
Ac Zn Ir O
10 4 2 2
Cartesian
4.613 -3.430 -3.640
-6.023 -10.763 -4.677
-0.224 -13.334 -5.924
-1.982 -10.172 -3.699
0.779 -9.186 -7.047
-3.312 -6.249 -3.866
0.846 -7.197 -3.635
-3.174 -2.352 -2.168
0.517 -3.042 -4.152
0.477 -0.551 -0.465
-3.146 -11.898 -6.494
-4.552 -8.745 -1.889
-1.125 -4.904 -1.706
2.694 -4.971 -6.010
-1.431 -7.832 -5.433
2.477 -2.173 -2.105
-8.244 -10.030 -3.340
2.223 -9.008 -5.078
```

Calculated values
Symmetry: Cmc2_1
Formation energy without anion corrections (eV/atom): -0.86

=====

What is the formula in the third record? CsGeAs2